No. 1
## Nd3HoSe6 (PBE-GGA)

Data for crystalline Nd3HoSe6 at its relaxed geometry.

Geometry as CIF:
```
data_Nd3HoSe6
_chemical_formula_sum 'Nd6 Ho2 Se12'
_cell_length_a 8.591
_cell_length_b 8.591
_cell_length_c 8.591
_cell_angle_alpha 91.20
_cell_angle_beta 91.20
_cell_angle_gamma 91.20
_symmetry_space_group_name_H-M 'P 1'
_symmetry_Int_Tables_number 1
loop_
_symmetry_equiv_pos_as_xyz
'x,y,z'
loop_
_atom_site_label
_atom_site_fract_x
_atom_site_fract_y
_atom_site_fract_z
_atom_site_occupancy
Nd1 0.070 0.747 0.579 1
Nd2 0.253 0.421 0.930 1
Nd3 0.421 0.930 0.253 1
Nd4 0.579 0.070 0.747 1
Nd5 0.747 0.579 0.070 1
Nd6 0.930 0.253 0.421 1
Ho1 0.000 0.000 0.000 1
Ho2 0.500 0.500 0.500 1
Se1 0.040 0.686 0.912 1
Se2 0.088 0.960 0.314 1
Se3 0.190 0.418 0.586 1
Se4 0.314 0.088 0.960 1
Se5 0.414 0.810 0.582 1
Se6 0.418 0.586 0.190 1
Se7 0.582 0.414 0.810 1
Se8 0.586 0.190 0.418 1
Se9 0.686 0.912 0.040 1
Se10 0.810 0.582 0.414 1
Se11 0.912 0.040 0.686 1
Se12 0.960 0.314 0.088 1
```

Properties
Final energy (eV per atom): -5.84
Density of states at the Fermi level (states/eV/atom): 0.00
Total magnetization (μB/cell): 0.0

No. 2
## NdHo3Se6 (PBE-GGA)

Data for crystalline NdHo3Se6 at its relaxed geometry.

Geometry as CIF:
```
data_NdHo3Se6
_chemical_formula_sum 'Nd2 Ho6 Se12'
_cell_length_a 11.589
_cell_length_b 4.130
_cell_length_c 11.882
_cell_angle_alpha 90.00
_cell_angle_beta 109.12
_cell_angle_gamma 90.00
_symmetry_space_group_name_H-M 'P 1'
_symmetry_Int_Tables_number 1
loop_
_symmetry_equiv_pos_as_xyz
'x,y,z'
loop_
_atom_site_label
_atom_site_fract_x
_atom_site_fract_y
_atom_site_fract_z
_atom_site_occupancy
Nd1 0.047 0.250 0.195 1
Nd2 0.953 0.750 0.805 1
Ho1 0.159 0.250 0.586 1
Ho2 0.319 0.750 0.000 1
Ho3 0.438 0.250 0.333 1
Ho4 0.562 0.750 0.667 1
Ho5 0.681 0.250 0.000 1
Ho6 0.841 0.750 0.414 1
Se1 0.083 0.750 0.405 1
Se2 0.117 0.250 0.965 1
Se3 0.197 0.750 0.750 1
Se4 0.261 0.750 0.226 1
Se5 0.394 0.250 0.559 1
Se6 0.480 0.250 0.114 1
Se7 0.520 0.750 0.886 1
Se8 0.606 0.750 0.441 1
Se9 0.739 0.250 0.774 1
Se10 0.803 0.250 0.250 1
Se11 0.883 0.750 0.035 1
Se12 0.917 0.250 0.595 1
```

Properties
Final energy (eV per atom): -5.83
Total magnetization (μB/cell): 0.0

No. 3
## Nd6HoSe8 (PBE-GGA)

Data for crystalline Nd6HoSe8 at its relaxed geometry.

Geometry as CIF:
```
data_Nd6HoSe8
_chemical_formula_sum 'Nd6 Ho1 Se8'
_cell_length_a 8.420
_cell_length_b 8.420
_cell_length_c 8.420
_cell_angle_alpha 60.00
_cell_angle_beta 60.00
_cell_angle_gamma 60.00
_symmetry_space_group_name_H-M 'P 1'
_symmetry_Int_Tables_number 1
loop_
_symmetry_equiv_pos_as_xyz
'x,y,z'
loop_
_atom_site_label
_atom_site_fract_x
_atom_site_fract_y
_atom_site_fract_z
_atom_site_occupancy
Nd1 0.000 0.000 0.500 1
Nd2 0.000 0.500 0.000 1
Nd3 0.000 0.500 0.500 1
Nd4 0.500 0.000 0.000 1
Nd5 0.500 0.000 0.500 1
Nd6 0.500 0.500 0.000 1
Ho1 0.000 0.000 0.000 1
Se1 0.245 0.245 0.755 1
Se2 0.245 0.755 0.245 1
Se3 0.245 0.755 0.755 1
Se4 0.250 0.250 0.250 1
Se5 0.750 0.750 0.750 1
Se6 0.755 0.245 0.245 1
Se7 0.755 0.245 0.755 1
Se8 0.755 0.755 0.245 1
```

Properties
Final energy (eV per atom): -5.94
Density of states at the Fermi level (states/eV/atom): 0.46
Total magnetization (μB/cell): 0.0

No. 4
## NdHo2Se4 (PBE-GGA)

Data for crystalline NdHo2Se4 at its relaxed geometry.

Geometry as CIF:
```
data_NdHo2Se4
_chemical_formula_sum 'Nd4 Ho8 Se16'
_cell_length_a 12.598
_cell_length_b 4.022
_cell_length_c 14.689
_cell_angle_alpha 90.00
_cell_angle_beta 90.00
_cell_angle_gamma 90.00
_symmetry_space_group_name_H-M 'P 1'
_symmetry_Int_Tables_number 1
loop_
_symmetry_equiv_pos_as_xyz
'x,y,z'
loop_
_atom_site_label
_atom_site_fract_x
_atom_site_fract_y
_atom_site_fract_z
_atom_site_occupancy
Nd1 0.248 0.250 0.172 1
Nd2 0.252 0.750 0.672 1
Nd3 0.748 0.250 0.328 1
Nd4 0.752 0.750 0.828 1
Ho1 0.057 0.250 0.387 1
Ho2 0.096 0.250 0.909 1
Ho3 0.404 0.750 0.409 1
Ho4 0.443 0.750 0.887 1
Ho5 0.557 0.250 0.113 1
Ho6 0.596 0.250 0.591 1
Ho7 0.904 0.750 0.091 1
Ho8 0.943 0.750 0.613 1
Se1 0.044 0.750 0.784 1
Se2 0.100 0.250 0.576 1
Se3 0.128 0.750 0.045 1
Se4 0.198 0.750 0.322 1
Se5 0.302 0.250 0.822 1
Se6 0.372 0.250 0.545 1
Se7 0.400 0.750 0.076 1
Se8 0.456 0.250 0.284 1
Se9 0.544 0.750 0.716 1
Se10 0.600 0.250 0.924 1
Se11 0.628 0.750 0.455 1
Se12 0.698 0.750 0.178 1
Se13 0.802 0.250 0.678 1
Se14 0.872 0.250 0.955 1
Se15 0.900 0.750 0.424 1
Se16 0.956 0.250 0.216 1
```

Properties
Final energy (eV per atom): -5.83
Density of states at the Fermi level (states/eV/atom): 0.32
Relative energy among the computed polymorphs (eV/atom): 0.010
Total magnetization (μB/cell): 0.0

No. 5
## NdHo3Se4 (PBE-GGA)

Data for crystalline NdHo3Se4 at its relaxed geometry.

Geometry as CIF:
```
data_NdHo3Se4
_chemical_formula_sum 'Nd2 Ho6 Se8'
_cell_length_a 5.745
_cell_length_b 9.360
_cell_length_c 8.533
_cell_angle_alpha 90.00
_cell_angle_beta 90.00
_cell_angle_gamma 90.00
_symmetry_space_group_name_H-M 'P 1'
_symmetry_Int_Tables_number 1
loop_
_symmetry_equiv_pos_as_xyz
'x,y,z'
loop_
_atom_site_label
_atom_site_fract_x
_atom_site_fract_y
_atom_site_fract_z
_atom_site_occupancy
Nd1 0.250 0.250 0.247 1
Nd2 0.750 0.750 0.753 1
Ho1 0.250 0.042 0.654 1
Ho2 0.250 0.458 0.654 1
Ho3 0.250 0.750 0.107 1
Ho4 0.750 0.250 0.893 1
Ho5 0.750 0.542 0.346 1
Ho6 0.750 0.958 0.346 1
Se1 0.250 0.250 0.902 1
Se2 0.250 0.551 0.343 1
Se3 0.250 0.750 0.770 1
Se4 0.250 0.949 0.343 1
Se5 0.750 0.051 0.657 1
Se6 0.750 0.250 0.230 1
Se7 0.750 0.449 0.657 1
Se8 0.750 0.750 0.098 1
```

Properties
Final energy (eV per atom): -5.59
Density of states at the Fermi level (states/eV/atom): 0.45
Relative energy among the computed polymorphs (eV/atom): 0.205
Total magnetization (μB/cell): 0.0

No. 6
## NdHo4Se6 (PBE-GGA)

Data for crystalline NdHo4Se6 at its relaxed geometry.

Geometry as CIF:
```
data_NdHo4Se6
_chemical_formula_sum 'Nd2 Ho8 Se12'
_cell_length_a 6.970
_cell_length_b 6.970
_cell_length_c 20.757
_cell_angle_alpha 90.00
_cell_angle_beta 90.00
_cell_angle_gamma 146.48
_symmetry_space_group_name_H-M 'P 1'
_symmetry_Int_Tables_number 1
loop_
_symmetry_equiv_pos_as_xyz
'x,y,z'
loop_
_atom_site_label
_atom_site_fract_x
_atom_site_fract_y
_atom_site_fract_z
_atom_site_occupancy
Nd1 0.154 0.846 0.750 1
Nd2 0.846 0.154 0.250 1
Ho1 0.090 0.910 0.126 1
Ho2 0.090 0.910 0.374 1
Ho3 0.360 0.640 0.038 1
Ho4 0.360 0.640 0.462 1
Ho5 0.640 0.360 0.538 1
Ho6 0.640 0.360 0.962 1
Ho7 0.910 0.090 0.626 1
Ho8 0.910 0.090 0.874 1
Se1 0.000 0.000 0.000 1
Se2 0.000 0.000 0.500 1
Se3 0.183 0.817 0.250 1
Se4 0.268 0.732 0.590 1
Se5 0.268 0.732 0.910 1
Se6 0.451 0.549 0.164 1
Se7 0.451 0.549 0.336 1
Se8 0.549 0.451 0.664 1
Se9 0.549 0.451 0.836 1
Se10 0.732 0.268 0.090 1
Se11 0.732 0.268 0.410 1
Se12 0.817 0.183 0.750 1
```

Properties
Final energy (eV per atom): -5.82
Density of states at the Fermi level (states/eV/atom): 0.26
Total magnetization (μB/cell): 0.0

No. 7
## NdHoSe3 (PBE-GGA)

Data for crystalline NdHoSe3 at its relaxed geometry.

Geometry as CIF:
```
data_NdHoSe3
_chemical_formula_sum 'Nd2 Ho2 Se6'
_cell_length_a 8.146
_cell_length_b 4.116
_cell_length_c 8.283
_cell_angle_alpha 90.00
_cell_angle_beta 94.95
_cell_angle_gamma 90.00
_symmetry_space_group_name_H-M 'P 1'
_symmetry_Int_Tables_number 1
loop_
_symmetry_equiv_pos_as_xyz
'x,y,z'
loop_
_atom_site_label
_atom_site_fract_x
_atom_site_fract_y
_atom_site_fract_z
_atom_site_occupancy
Nd1 0.121 0.250 0.271 1
Nd2 0.879 0.750 0.729 1
Ho1 0.354 0.750 0.825 1
Ho2 0.646 0.250 0.175 1
Se1 0.125 0.250 0.890 1
Se2 0.185 0.750 0.525 1
Se3 0.400 0.750 0.180 1
Se4 0.600 0.250 0.820 1
Se5 0.815 0.250 0.475 1
Se6 0.875 0.750 0.110 1
```

Properties
Final energy (eV per atom): -5.83
Relative energy among the computed polymorphs (eV/atom): 0.015
Total magnetization (μB/cell): 0.0

No. 8
## NdHo3Se4 (PBE-GGA)

Data for crystalline NdHo3Se4 at its relaxed geometry.

Geometry as CIF:
```
data_NdHo3Se4
_chemical_formula_sum 'Nd2 Ho6 Se8'
_cell_length_a 8.325
_cell_length_b 11.602
_cell_length_c 4.039
_cell_angle_alpha 90.00
_cell_angle_beta 90.00
_cell_angle_gamma 90.00
_symmetry_space_group_name_H-M 'P 1'
_symmetry_Int_Tables_number 1
loop_
_symmetry_equiv_pos_as_xyz
'x,y,z'
loop_
_atom_site_label
_atom_site_fract_x
_atom_site_fract_y
_atom_site_fract_z
_atom_site_occupancy
Nd1 0.000 0.000 0.000 1
Nd2 0.500 0.500 0.000 1
Ho1 0.000 0.500 0.000 1
Ho2 0.250 0.250 0.500 1
Ho3 0.250 0.750 0.500 1
Ho4 0.500 0.000 0.000 1
Ho5 0.750 0.250 0.500 1
Ho6 0.750 0.750 0.500 1
Se1 0.000 0.255 0.000 1
Se2 0.000 0.745 0.000 1
Se3 0.239 0.500 0.500 1
Se4 0.261 0.000 0.500 1
Se5 0.500 0.245 0.000 1
Se6 0.500 0.755 0.000 1
Se7 0.739 0.000 0.500 1
Se8 0.761 0.500 0.500 1
```

Properties
Final energy (eV per atom): -5.80
Density of states at the Fermi level (states/eV/atom): 0.59
Relative energy among the computed polymorphs (eV/atom): 0.000
Total magnetization (μB/cell): 0.0

No. 9
## Nd2HoSe4 (PBE-GGA)

Data for crystalline Nd2HoSe4 at its relaxed geometry.

Geometry as CIF:
```
data_Nd2HoSe4
_chemical_formula_sum 'Nd4 Ho2 Se8'
_cell_length_a 8.269
_cell_length_b 8.269
_cell_length_c 8.269
_cell_angle_alpha 119.78
_cell_angle_beta 119.02
_cell_angle_gamma 91.04
_symmetry_space_group_name_H-M 'P 1'
_symmetry_Int_Tables_number 1
loop_
_symmetry_equiv_pos_as_xyz
'x,y,z'
loop_
_atom_site_label
_atom_site_fract_x
_atom_site_fract_y
_atom_site_fract_z
_atom_site_occupancy
Nd1 0.000 0.000 0.000 1
Nd2 0.500 0.000 0.000 1
Nd3 0.500 0.000 0.500 1
Nd4 0.500 0.500 0.500 1
Ho1 0.000 0.000 0.500 1
Ho2 0.000 0.500 0.000 1
Se1 0.233 0.742 0.491 1
Se2 0.245 0.247 0.501 1
Se3 0.245 0.744 0.999 1
Se4 0.249 0.258 0.991 1
Se5 0.751 0.742 0.009 1
Se6 0.755 0.256 0.001 1
Se7 0.755 0.753 0.499 1
Se8 0.767 0.258 0.509 1
```

Properties
Final energy (eV per atom): -5.87
Density of states at the Fermi level (states/eV/atom): 0.30
Relative energy among the computed polymorphs (eV/atom): 0.000
Total magnetization (μB/cell): 0.0

No. 10
## NdHoSe3 (PBE-GGA)

Data for crystalline NdHoSe3 at its relaxed geometry.

Geometry as CIF:
```
data_NdHoSe3
_chemical_formula_sum 'Nd4 Ho4 Se12'
_cell_length_a 7.740
_cell_length_b 4.143
_cell_length_c 16.102
_cell_angle_alpha 90.00
_cell_angle_beta 90.00
_cell_angle_gamma 90.00
_symmetry_space_group_name_H-M 'P 1'
_symmetry_Int_Tables_number 1
loop_
_symmetry_equiv_pos_as_xyz
'x,y,z'
loop_
_atom_site_label
_atom_site_fract_x
_atom_site_fract_y
_atom_site_fract_z
_atom_site_occupancy
Nd1 0.140 0.250 0.201 1
Nd2 0.360 0.750 0.701 1
Nd3 0.640 0.250 0.299 1
Nd4 0.860 0.750 0.799 1
Ho1 0.229 0.750 0.457 1
Ho2 0.271 0.250 0.957 1
Ho3 0.729 0.750 0.043 1
Ho4 0.771 0.250 0.543 1
Se1 0.009 0.250 0.395 1
Se2 0.122 0.750 0.062 1
Se3 0.152 0.250 0.785 1
Se4 0.348 0.750 0.285 1
Se5 0.378 0.250 0.562 1
Se6 0.491 0.750 0.895 1
Se7 0.509 0.250 0.105 1
Se8 0.622 0.750 0.438 1
Se9 0.652 0.250 0.715 1
Se10 0.848 0.750 0.215 1
Se11 0.878 0.250 0.938 1
Se12 0.991 0.750 0.605 1
```

Properties
Final energy (eV per atom): -5.85
Relative energy among the computed polymorphs (eV/atom): 0.000
Total magnetization (μB/cell): 0.0

No. 11
## NdHo2Se3 (PBE-GGA)

Data for crystalline NdHo2Se3 at its relaxed geometry.

Geometry as CIF:
```
data_NdHo2Se3
_chemical_formula_sum 'Nd2 Ho4 Se6'
_cell_length_a 4.107
_cell_length_b 5.813
_cell_length_c 12.396
_cell_angle_alpha 90.00
_cell_angle_beta 90.00
_cell_angle_gamma 90.00
_symmetry_space_group_name_H-M 'P 1'
_symmetry_Int_Tables_number 1
loop_
_symmetry_equiv_pos_as_xyz
'x,y,z'
loop_
_atom_site_label
_atom_site_fract_x
_atom_site_fract_y
_atom_site_fract_z
_atom_site_occupancy
Nd1 0.000 0.000 0.000 1
Nd2 0.500 0.500 0.500 1
Ho1 0.000 0.000 0.340 1
Ho2 0.000 0.000 0.660 1
Ho3 0.500 0.500 0.160 1
Ho4 0.500 0.500 0.840 1
Se1 0.000 0.500 0.000 1
Se2 0.000 0.500 0.323 1
Se3 0.000 0.500 0.677 1
Se4 0.500 0.000 0.177 1
Se5 0.500 0.000 0.500 1
Se6 0.500 0.000 0.823 1
```

Properties
Final energy (eV per atom): -5.82
Density of states at the Fermi level (states/eV/atom): 0.46
Total magnetization (μB/cell): 0.0

No. 12
## Nd2HoSe4 (PBE-GGA)

Data for crystalline Nd2HoSe4 at its relaxed geometry.

Geometry as CIF:
```
data_Nd2HoSe4
_chemical_formula_sum 'Nd4 Ho2 Se8'
_cell_length_a 7.259
_cell_length_b 7.259
_cell_length_c 14.096
_cell_angle_alpha 90.00
_cell_angle_beta 90.00
_cell_angle_gamma 147.87
_symmetry_space_group_name_H-M 'P 1'
_symmetry_Int_Tables_number 1
loop_
_symmetry_equiv_pos_as_xyz
'x,y,z'
loop_
_atom_site_label
_atom_site_fract_x
_atom_site_fract_y
_atom_site_fract_z
_atom_site_occupancy
Nd1 0.130 0.870 0.572 1
Nd2 0.130 0.870 0.928 1
Nd3 0.870 0.130 0.072 1
Nd4 0.870 0.130 0.428 1
Ho1 0.372 0.628 0.750 1
Ho2 0.628 0.372 0.250 1
Se1 0.019 0.981 0.750 1
Se2 0.219 0.781 0.126 1
Se3 0.219 0.781 0.374 1
Se4 0.500 0.500 0.000 1
Se5 0.500 0.500 0.500 1
Se6 0.781 0.219 0.626 1
Se7 0.781 0.219 0.874 1
Se8 0.981 0.019 0.250 1
```

Properties
Final energy (eV per atom): -5.82
Density of states at the Fermi level (states/eV/atom): 0.31
Relative energy among the computed polymorphs (eV/atom): 0.043
Total magnetization (μB/cell): 0.0